No. 1
RbScSnF6: relaxed, GGA-PBE.

Properties
Total moment in μB per cell: 0.0
Raw formation energy in eV per atom: -3.14
VASP energy in eV per atom: -5.65

Structure (POSCAR):
```
RbScSnF6
1.0
6.069 0.001 -0.002
3.036 5.255 0.001
0.002 -0.004 5.259
F Sn Sc Rb
6 1 1 1
direct
0.562 0.440 0.720 F
0.440 0.998 0.720 F
0.998 0.563 0.720 F
0.640 0.090 0.314 F
0.270 0.639 0.314 F
0.090 0.270 0.314 F
0.667 0.667 0.448 Sn
0.333 0.333 0.513 Sc
0.000 0.000 0.937 Rb
```



No. 2
RbScSn2F8: relaxed, GGA-PBE.

Properties
Total moment in μB per cell: 0.0
Raw formation energy in eV per atom: -2.94
VASP energy in eV per atom: -5.46

Structure (POSCAR):
```
RbScSn2F8
1.0
5.502 0.168 -0.151
0.185 5.400 -0.100
-0.299 -0.132 7.833
Sn F Sc Rb
2 8 1 1
direct
0.489 0.491 0.235 Sn
0.511 0.509 0.765 Sn
0.858 0.236 0.814 F
0.348 0.324 0.440 F
0.227 0.851 0.822 F
0.142 0.764 0.186 F
0.747 0.752 0.920 F
0.253 0.248 0.080 F
0.652 0.676 0.560 F
0.773 0.149 0.178 F
0.000 0.000 0.000 Sc
0.000 0.000 0.500 Rb
```



No. 3
RbSrSc2F: relaxed, GGA-PBE.

Properties
Total moment in μB per cell: 2.5
Raw formation energy in eV per atom: -0.31
VASP energy in eV per atom: -3.75

Structure (POSCAR):
```
RbSrSc2F
1.0
-2.477 3.186 2.842
0.604 -3.847 4.839
4.242 2.206 1.225
Sc Sr Rb F
2 1 1 1
direct
0.500 0.000 0.000 Sc
0.000 0.000 0.500 Sc
0.000 0.500 0.000 Sr
0.500 0.500 0.500 Rb
0.000 0.000 0.000 F
```



No. 4
RbSr2ScF: relaxed, GGA-PBE.

Properties
Total moment in μB per cell: 0.5
Raw formation energy in eV per atom: -0.68
VASP energy in eV per atom: -3.18

Structure (POSCAR):
```
RbSr2ScF
1.0
-4.925 -2.326 -0.862
2.634 -4.886 -1.870
0.023 -1.960 5.155
Sr Rb Sc F
2 1 1 1
direct
0.500 0.000 0.000 Sr
0.000 0.000 0.500 Sr
0.000 0.500 0.000 Rb
0.500 0.500 0.500 Sc
0.000 0.000 0.000 F
```



No. 5
Rb2ScTcF6: relaxed, GGA-PBE.

Properties
Total moment in μB per cell: 0.0
Raw formation energy in eV per atom: -2.52
VASP energy in eV per atom: -5.51

Structure (POSCAR):
```
Rb2ScTcF6
1.0
6.099 0.000 0.000
0.000 6.099 0.000
3.050 3.050 4.313
F Rb Tc Sc
6 2 1 1
direct
0.262 0.262 0.476 F
0.738 0.738 0.524 F
0.738 0.738 0.000 F
0.738 0.262 0.000 F
0.262 0.262 0.000 F
0.262 0.738 0.000 F
0.250 0.750 0.500 Rb
0.750 0.250 0.500 Rb
0.000 0.000 0.000 Tc
0.500 0.500 0.000 Sc
```



No. 6
Rb2ScTiF6: relaxed, GGA-PBE.

Properties
Total moment in μB per cell: 3.0
Raw formation energy in eV per atom: -2.96
VASP energy in eV per atom: -5.69

Structure (POSCAR):
```
Rb2ScTiF6
1.0
6.115 0.000 0.000
0.000 6.115 0.000
3.057 3.057 4.323
F Rb Sc Ti
6 2 1 1
direct
0.744 0.744 0.512 F
0.744 0.256 0.000 F
0.256 0.256 0.488 F
0.256 0.256 0.000 F
0.256 0.744 0.000 F
0.744 0.744 0.000 F
0.750 0.250 0.500 Rb
0.250 0.750 0.500 Rb
0.500 0.500 0.000 Sc
0.000 0.000 0.000 Ti
```



No. 7
Rb2Sc3TlF12: relaxed, GGA-PBE.

Properties
Total moment in μB per cell: 0.0
Raw formation energy in eV per atom: -3.49
VASP energy in eV per atom: -6.03

Structure (POSCAR):
```
Rb2Sc3TlF12
1.0
7.824 -0.014 -0.010
3.851 6.810 -0.010
3.851 2.242 6.430
Rb Sc F Tl
2 3 12 1
direct
0.370 0.370 0.370 Rb
0.630 0.630 0.630 Rb
0.000 0.500 0.000 Sc
0.000 0.000 0.500 Sc
0.500 0.000 0.000 Sc
0.722 0.096 0.722 F
0.439 0.876 0.876 F
0.278 0.904 0.278 F
0.876 0.876 0.439 F
0.876 0.439 0.876 F
0.124 0.124 0.561 F
0.278 0.278 0.904 F
0.904 0.278 0.278 F
0.096 0.722 0.722 F
0.124 0.561 0.124 F
0.722 0.722 0.096 F
0.561 0.124 0.124 F
0.000 0.000 0.000 Tl
```



No. 8
RbSc3Tl2F12: relaxed, GGA-PBE.

Properties
Total moment in μB per cell: 0.0
Raw formation energy in eV per atom: -3.39
VASP energy in eV per atom: -6.01

Structure (POSCAR):
```
RbSc3Tl2F12
1.0
7.796 -0.035 -0.024
3.820 6.796 -0.024
3.820 2.224 6.422
F Rb Tl Sc
12 1 2 3
direct
0.091 0.728 0.728 F
0.129 0.129 0.553 F
0.728 0.728 0.091 F
0.871 0.447 0.871 F
0.871 0.871 0.447 F
0.728 0.091 0.728 F
0.553 0.129 0.129 F
0.272 0.909 0.272 F
0.447 0.871 0.871 F
0.909 0.272 0.272 F
0.272 0.272 0.909 F
0.129 0.553 0.129 F
0.000 0.000 0.000 Rb
0.639 0.639 0.639 Tl
0.361 0.361 0.361 Tl
0.000 0.000 0.500 Sc
0.500 0.000 0.000 Sc
0.000 0.500 0.000 Sc
```